# 1
Entry from Alexandria: Ta4AgW after structural relaxation (PBE).

Cell lengths 5.402, 5.402, 5.402 Å; angles 60.00, 60.00, 60.00 degrees
Fractional coordinates of all 6 atoms:
Ta 0.377 0.377 0.377
Ta 0.377 0.377 0.869
Ta 0.377 0.869 0.377
Ta 0.869 0.377 0.377
Ag 0.000 0.000 0.000
W 0.750 0.750 0.750

# 2
Entry from Alexandria: TaAg2W after structural relaxation (PBE).

Cell lengths 4.990, 4.990, 4.990 Å; angles 131.07, 131.07, 71.71 degrees
Fractional coordinates of all 4 atoms:
Ta 0.000 0.000 0.000
Ag 0.500 0.500 0.000
Ag 0.750 0.250 0.500
W 0.250 0.750 0.500

# 3
Entry from Alexandria: TaAg2W after structural relaxation (PBE).

Cell lengths 3.149, 4.448, 4.946 Å; angles 90.00, 90.00, 90.00 degrees
Fractional coordinates of all 4 atoms:
Ta 0.000 0.000 0.000
Ag 0.000 0.500 0.500
Ag 0.500 0.000 0.500
W 0.500 0.500 0.000

# 4
Entry from Alexandria: TaAg2W after structural relaxation (PBE).

Cell lengths 10.066, 10.066, 10.066 Å; angles 16.20, 16.20, 16.20 degrees
Fractional coordinates of all 4 atoms:
Ta 0.000 0.000 0.000
Ag 0.249 0.249 0.249
Ag 0.751 0.751 0.751
W 0.500 0.500 0.500

# 5
Entry from Alexandria: TaAgW after structural relaxation (PBE).

Cell lengths 5.273, 5.273, 5.273 Å; angles 142.80, 142.80, 53.62 degrees
Fractional coordinates of all 3 atoms:
Ta 0.000 0.000 0.000
Ag 0.683 0.683 0.000
W 0.363 0.363 0.000

# 6
Entry from Alexandria: Ta3AgW after structural relaxation (PBE).

Cell lengths 4.802, 4.802, 4.802 Å; angles 90.00, 90.00, 90.00 degrees
Fractional coordinates of all 5 atoms:
Ta 0.000 0.000 0.500
Ta 0.000 0.500 0.000
Ta 0.500 0.000 0.000
Ag 0.000 0.000 0.000
W 0.500 0.500 0.500

# 7
Entry from Alexandria: TaAg2W after structural relaxation (PBE).

Cell lengths 2.734, 4.987, 5.154 Å; angles 90.00, 98.95, 90.00 degrees
Fractional coordinates of all 4 atoms:
Ta 0.000 0.000 0.000
Ag 0.259 0.500 0.747
Ag 0.741 0.500 0.253
W 0.500 0.000 0.500

# 8
Entry from Alexandria: TaAg2W after structural relaxation (PBE).

Cell lengths 4.947, 4.947, 5.379 Å; angles 96.12, 96.12, 31.84 degrees
Fractional coordinates of all 4 atoms:
Ta 0.000 0.000 0.000
Ag 0.502 0.502 0.499
Ag 0.752 0.752 0.265
W 0.251 0.251 0.758

# 9
Entry from Alexandria: TaAg2W after structural relaxation (PBE).

Cell lengths 2.765, 4.184, 5.985 Å; angles 90.00, 90.05, 90.00 degrees
Fractional coordinates of all 4 atoms:
Ta 0.000 0.000 0.000
Ag 0.497 0.500 0.734
Ag 0.993 0.000 0.497
W 0.490 0.500 0.238

# 10
Entry from Alexandria: TaAg2W after structural relaxation (PBE).

Cell lengths 4.610, 4.610, 4.610 Å; angles 60.00, 60.00, 60.00 degrees
Fractional coordinates of all 4 atoms:
Ta 0.000 0.000 0.000
Ag 0.250 0.250 0.250
Ag 0.750 0.750 0.750
W 0.500 0.500 0.500

# 11
Entry from Alexandria: TaAg2W after structural relaxation (PBE).

Cell lengths 5.936, 5.936, 5.936 Å; angles 101.40, 101.40, 127.21 degrees
Fractional coordinates of all 8 atoms:
Ta 0.000 0.000 0.000
Ta 0.750 0.250 0.500
Ag 0.130 0.125 0.505
Ag 0.375 0.870 0.995
Ag 0.620 0.625 0.495
Ag 0.875 0.380 0.005
W 0.250 0.750 0.500
W 0.500 0.500 0.000

# 12
Entry from Alexandria: TaAg2W after structural relaxation (PBE).

Cell lengths 5.503, 5.503, 5.503 Å; angles 147.48, 126.39, 64.12 degrees
Fractional coordinates of all 4 atoms:
Ta 0.000 0.000 0.000
Ag 0.483 0.483 0.000
Ag 0.736 0.236 0.500
W 0.223 0.723 0.500

# 13
Entry from Alexandria: TaAg2W after structural relaxation (PBE).

Cell lengths 2.778, 2.778, 8.968 Å; angles 90.00, 90.00, 90.00 degrees
Fractional coordinates of all 4 atoms:
Ta 0.000 0.000 0.000
Ag 0.000 0.000 0.495
Ag 0.500 0.500 0.748
W 0.500 0.500 0.250

# 14
Entry from Alexandria: TaAg2W after structural relaxation (PBE).

Cell lengths 2.742, 2.742, 9.099 Å; angles 90.00, 90.00, 90.00 degrees
Fractional coordinates of all 4 atoms:
Ta 0.000 0.000 0.000
Ag 0.500 0.500 0.253
Ag 0.500 0.500 0.747
W 0.000 0.000 0.500

# 15
Entry from Alexandria: Ta3AgW after structural relaxation (PBE).

Cell lengths 4.876, 4.876, 4.876 Å; angles 90.00, 90.00, 90.00 degrees
Fractional coordinates of all 5 atoms:
Ta 0.000 0.000 0.500
Ta 0.000 0.500 0.000
Ta 0.500 0.000 0.000
Ag 0.500 0.500 0.500
W 0.000 0.000 0.000

For the records above, the corresponding energy of formation values read 560, 652, 498, 497, 535, 2324, 508, 510, 417, 917, 1125, 630, 309, 571, 1562 meV/atom.